(1)
A relaxed PSeF3 crystal. Source: Alexandria, functional PBE-GGA.

Raw formation energy ... -1.7470 eV per atom
D(E_F) ... 0.13 states/eV/atom

```
data_PSeF3
_space_group_name_H-M_alt 'P 1'
_space_group_IT_number 1
_space_group_name_Hall 'P 1'
_cell_length_a 8.6550
_cell_length_b 5.6175
_cell_length_c 12.1156
_cell_angle_alpha 90.00
_cell_angle_beta 132.26
_cell_angle_gamma 90.00
loop_
_atom_site_label
_atom_site_fract_x
_atom_site_fract_y
_atom_site_fract_z
P1 0.1918 0.0054 0.2183
P2 0.1918 0.4946 0.7183
P3 0.8082 0.5054 0.2817
P4 0.8082 0.9946 0.7817
Se1 0.0844 0.6496 0.9997
Se2 0.0844 0.8504 0.4997
Se3 0.9156 0.1496 0.5003
Se4 0.9156 0.3504 0.0003
F1 0.2407 0.1907 0.3397
F2 0.2407 0.3093 0.8397
F3 0.2870 0.7179 0.8295
F4 0.2870 0.7821 0.3295
F5 0.3876 0.0678 0.2365
F6 0.3876 0.4322 0.7365
F7 0.6124 0.5678 0.2635
F8 0.6124 0.9322 0.7635
F9 0.7130 0.2179 0.6705
F10 0.7130 0.2821 0.1705
F11 0.7593 0.6907 0.1603
F12 0.7593 0.8093 0.6603
```

(2)
A relaxed TbMg3Tl4 crystal. Source: Alexandria, functional PBE-GGA.

Total energy ... -20.0 eV/cell
D(E_F) ... 0.28 states/eV/atom

```
data_TbMg3Tl4
_space_group_name_H-M_alt 'P 1'
_space_group_IT_number 1
_space_group_name_Hall 'P 1'
_cell_length_a 5.0711
_cell_length_b 5.0711
_cell_length_c 7.8466
_cell_angle_alpha 90.00
_cell_angle_beta 90.00
_cell_angle_gamma 90.00
loop_
_atom_site_label
_atom_site_fract_x
_atom_site_fract_y
_atom_site_fract_z
Tb1 0.0000 0.0000 0.0000
Mg1 0.0000 0.0000 0.5000
Mg2 0.5000 0.5000 0.0000
Mg3 0.5000 0.5000 0.5000
Tl1 0.0000 0.5000 0.2606
Tl2 0.0000 0.5000 0.7394
Tl3 0.5000 0.0000 0.2606
Tl4 0.5000 0.0000 0.7394
```

(3)
A relaxed Ac2CuGe3 crystal. Source: Alexandria, functional PBE-GGA.

Total energy ... -60.4 eV/cell
D(E_F) ... 0.41 states/eV/atom

```
data_Ac2CuGe3
_space_group_name_H-M_alt 'P 1'
_space_group_IT_number 1
_space_group_name_Hall 'P 1'
_cell_length_a 8.7730
_cell_length_b 8.6264
_cell_length_c 6.3214
_cell_angle_alpha 69.94
_cell_angle_beta 67.46
_cell_angle_gamma 42.60
loop_
_atom_site_label
_atom_site_fract_x
_atom_site_fract_y
_atom_site_fract_z
Ac1 0.2418 0.7582 0.2418
Ac2 0.2500 0.2500 0.2500
Ac3 0.7500 0.7500 0.7500
Ac4 0.7582 0.2418 0.7582
Cu1 0.3337 0.3337 0.6663
Cu2 0.6663 0.6663 0.3337
Ge1 0.1716 0.1716 0.8284
Ge2 0.1754 0.6535 0.8246
Ge3 0.3465 0.8246 0.6535
Ge4 0.6535 0.1754 0.3465
Ge5 0.8246 0.3465 0.1754
Ge6 0.8284 0.8284 0.1716
```